## Dy5SnHg3 (PBE-GGA)

Data for Dy5SnHg3 after structural relaxation.

Cell lengths 6.6147, 9.1865, 9.1861 Å; angles 120.00, 90.00, 90.00 degrees
Positions (direct):
Dy 0.0000 0.6667 0.3333
Dy 0.5000 0.3333 0.6667
Dy 0.0000 0.3333 0.6667
Dy 0.5000 0.6667 0.3333
Dy 0.7500 0.7122 0.7122
Dy 0.7500 0.0000 0.2878
Dy 0.7500 0.2878 0.0000
Dy 0.2500 0.2878 0.2878
Dy 0.2500 0.0000 0.7122
Dy 0.2500 0.7122 0.0000
Sn 0.0000 0.0000 0.0000
Sn 0.5000 0.0000 0.0000
Hg 0.7500 0.3814 0.3815
Hg 0.7500 0.0000 0.6185
Hg 0.7500 0.6185 0.0000
Hg 0.2500 0.6186 0.6185
Hg 0.2500 0.0000 0.3815
Hg 0.2500 0.3815 0.0000

Computed properties:
uncorrected energy: -64.119 eV/cell
crystal system: hexagonal
D(E_F): 0.740 states/eV per atom
formation energy from the elements: -0.460 eV per atom
total moment: 0.00 μB per cell
space group: P6_3/mcm